1.
This record from Alexandria via LeMat-Bulk describes a PBEsol-optimized structure of SrAl2. The functional is meta-GGA SCAN.

Results
Magnetic moment   0.000 μB per atom
E_tot   -0.938 Ry per atom
Crystal system   orthorhombic

Unit cell a=4.0307 b=6.2059 c=7.2210 alpha=115.45 beta=106.21 gamma=90.00
Last column: nearest neighbours and their distance in Å.
Sites, in units of the cell vectors:
Sr 0.6862 0.6862 0.3723  8 Al 3.26-3.48
Al 0.0000 0.2337 0.0000  5 Al 2.81-2.90
Al 0.0000 0.7663 0.0000  5 Al 2.81-2.90
Sr 0.3138 0.3138 0.6277  8 Al 3.26-3.48
Al 0.6056 0.1056 0.2111  5 Al 2.62-2.81
Al 0.3944 0.8944 0.7889  5 Al 2.62-2.81


2.
This record from Alexandria via LeMat-Bulk describes a PBEsol-optimized structure of Li4Fe3CuO8. The functional is meta-GGA SCAN.

Results
Magnetic moment   0.313 μB per atom
E_tot   -0.722 Ry per atom
E_form (uncorrected)   -28.09 eV/f.u.
Crystal system   trigonal

Unit cell a=5.6709 b=5.6709 c=5.7034 alpha=60.19 beta=60.19 gamma=60.00
Last column: nearest neighbours and their distance in Å.
Sites, in units of the cell vectors:
O 0.7498 0.7498 0.2242  2 Fe 1.91, 3 Li 2.02-2.12, 1 Cu 2.02
Li 0.0000 0.5000 0.5000  6 O 2.09-2.12
O 0.7238 0.2502 0.7758  2 Fe 1.91, 3 Li 2.02-2.12, 1 Cu 2.02
Cu 0.0000 0.0000 0.0000  6 O 2.02
O 0.2592 0.2592 0.2224  3 Fe 1.94, 3 Li 2.09
Li 0.5000 0.5000 0.5000  6 O 2.02
O 0.2762 0.7498 0.2242  2 Fe 1.91, 3 Li 2.02-2.12, 1 Cu 2.02
Fe 0.5000 0.0000 0.0000  6 O 1.91-1.94
Fe 0.5000 0.5000 0.0000  6 O 1.91-1.94
Fe 0.0000 0.5000 0.0000  6 O 1.91-1.94
O 0.2502 0.7238 0.7758  2 Fe 1.91, 3 Li 2.02-2.12, 1 Cu 2.02
O 0.7408 0.7408 0.7776  3 Fe 1.94, 3 Li 2.09
O 0.2502 0.2502 0.7758  2 Fe 1.91, 3 Li 2.02-2.12, 1 Cu 2.02
Li 0.0000 0.0000 0.5000  6 O 2.09-2.12
Li 0.5000 0.0000 0.5000  6 O 2.09-2.12
O 0.7498 0.2762 0.2242  2 Fe 1.91, 3 Li 2.02-2.12, 1 Cu 2.02


3.
This record from Alexandria via LeMat-Bulk describes a PBEsol-optimized structure of K2Na2MoW3O12. The functional is meta-GGA SCAN.

Results
Magnetic moment   0.000 μB per atom
E_tot   -1.429 Ry per atom
E_form (uncorrected)   -45.06 eV/f.u.
Crystal system   orthorhombic

Unit cell a=3.8914 b=7.8066 c=7.8105 alpha=90.00 beta=90.00 gamma=90.00
Last column: nearest neighbours and their distance in Å.
Sites, in units of the cell vectors:
Mo 0.0000 0.5025 0.5000  6 O 1.95-2.00
K 0.5000 0.2530 0.7474  12 O 2.74-2.81
O 0.0000 0.5052 0.7529  1 W 1.93, 1 Mo 1.98
Na 0.5000 0.7428 0.7424  12 O 2.65-2.83
O 0.5000 0.5048 0.5000  2 Mo 1.95
W 0.0000 0.9982 0.5000  6 O 1.92-1.96
O 0.0000 0.2499 0.0000  2 W 1.96-1.98
W 0.0000 0.5031 0.0000  6 O 1.93-1.98
O 0.5000 0.5049 0.0000  2 W 1.95
O 0.0000 0.5052 0.2471  1 W 1.93, 1 Mo 1.98
O 0.0000 0.7516 0.0000  2 W 1.93-1.94
O 0.0000 0.9962 0.2491  2 W 1.95-1.96
K 0.5000 0.2530 0.2526  12 O 2.74-2.81
Na 0.5000 0.7428 0.2576  12 O 2.65-2.83
O 0.0000 0.2468 0.5000  1 W 1.94, 1 Mo 2.00
O 0.0000 0.7526 0.5000  1 W 1.92, 1 Mo 1.95
O 0.5000 0.9956 0.5000  2 W 1.95
O 0.0000 0.9962 0.7509  2 W 1.95-1.96
W 0.0000 0.9985 0.0000  6 O 1.93-1.96
O 0.5000 0.9971 0.0000  2 W 1.95


4.
This record from Alexandria via LeMat-Bulk describes a PBEsol-optimized structure of SrIn2W. The functional is meta-GGA SCAN.

Results
Magnetic moment   0.000 μB per atom
E_tot   -2.883 Ry per atom
Crystal system   monoclinic

Unit cell a=2.9950 b=5.0676 c=6.4440 alpha=96.26 beta=90.00 gamma=107.19
Last column: nearest neighbours and their distance in Å.
Sites, in units of the cell vectors:
In 0.7395 0.4789 0.7001  3 W 2.93-2.96, 4 In 3.00-3.01, 1 Sr 3.18
Sr 0.5000 0.0000 0.0000  2 Sr 3.00, 6 In 3.18-3.35
In 0.2605 0.5211 0.2999  3 W 2.93-2.96, 4 In 3.00-3.01, 1 Sr 3.18
W 0.0000 0.0000 0.5000  6 In 2.93-2.96, 2 W 3.00